1.
# EuBePd3

Crystalline EuBePd3 at its relaxed geometry (PBE, Alexandria via LeMat-Bulk).

raw total energy	-6.50	eV per atom

Cell lengths 4.422, 4.422, 4.422 Å; angles 90.00, 90.00, 90.00 degrees
Last column: magnetic moment on the atom in μB.
Sites, in units of the cell vectors:
Eu (0.500, 0.500, 0.500)  6.72
Pd (0.500, 0.000, 0.000)  0.01
Pd (0.000, 0.000, 0.500)  0.01
Pd (0.000, 0.500, 0.000)  0.01
Be (0.000, 0.000, 0.000)  0.00

2.
# EuBePd

Crystalline EuBePd at its relaxed geometry (PBE, Alexandria via LeMat-Bulk).

raw total energy	-6.80	eV per atom

Cell lengths 4.349, 4.024, 4.024 Å; angles 120.00, 90.00, 90.00 degrees
Last column: magnetic moment on the atom in μB.
Sites, in units of the cell vectors:
Eu (0.667, 0.333, 0.667)  6.81
Pd (0.167, 0.000, 0.000)  0.00
Be (0.167, 0.667, 0.333)  0.01

3.
# PrEuBeZn

Crystalline PrEuBeZn at its relaxed geometry (PBE, Alexandria via LeMat-Bulk).

raw total energy	-5.00	eV per atom

Cell lengths 5.164, 5.164, 5.164 Å; angles 60.00, 60.00, 60.00 degrees
Last column: magnetic moment on the atom in μB.
Sites, in units of the cell vectors:
Eu (0.250, 0.250, 0.250)  6.81
Be (0.500, 0.500, 0.500)  -0.01
Zn (0.000, 0.000, 0.000)  0.00
Pr (0.750, 0.750, 0.750)  0.04